The following is a DFT calculation (PBE) of a geometry-optimized Ti5MnFe2Pt2 structure.

Results
Spin magnetization (μB/cell): 0.00
E_form (meV per atom): -310

Cell lengths 2.947, 9.915, 9.915 Å; angles 90.00, 90.00, 90.00 degrees
Fractional coordinates of all 20 atoms:
Ti 0.500 0.193 0.071
Ti 0.500 0.307 0.571
Ti 0.500 0.000 0.500
Ti 0.500 0.693 0.429
Ti 0.500 0.807 0.929
Ti 0.500 0.500 0.000
Ti 0.500 0.071 0.807
Ti 0.500 0.929 0.193
Ti 0.500 0.429 0.307
Ti 0.500 0.571 0.693
Mn 0.000 0.000 0.000
Mn 0.000 0.500 0.500
Fe 0.000 0.131 0.631
Fe 0.000 0.631 0.869
Fe 0.000 0.869 0.369
Fe 0.000 0.369 0.131
Pt 0.000 0.330 0.830
Pt 0.000 0.670 0.170
Pt 0.000 0.830 0.670
Pt 0.000 0.170 0.330

The following is a DFT calculation (PBE) of a geometry-optimized NpTcAs2 structure.

Results
ΔE to the lowest computed polymorph (meV/atom): 286
Spin magnetization (μB/cell): 4.09
E_form (meV per atom): -130

Cell lengths 3.459, 3.464, 7.220 Å; angles 103.95, 103.85, 90.01 degrees
Site moments in Bohr magnetons follow the coordinates.
Fractional coordinates of all 4 atoms:
As 0.595 0.253 0.974  -0.06
As 0.848 0.510 0.482  -0.06
Np 0.221 0.881 0.228  3.80
Tc 0.471 0.630 0.728  0.13

The following is a DFT calculation (PBE) of a geometry-optimized Sb2Te2Pd structure.

Results
Spin magnetization (μB/cell): 0.00
Raw formation energy (eV per atom): 0.155

Cell lengths 7.785, 7.785, 4.543 Å; angles 90.00, 90.00, 90.00 degrees
Fractional coordinates of all 10 atoms:
Pd 0.500 0.500 0.000
Pd 0.000 0.000 0.000
Te 0.341 0.159 0.500
Te 0.659 0.841 0.500
Te 0.841 0.341 0.500
Te 0.159 0.659 0.500
Sb 0.828 0.672 0.000
Sb 0.328 0.828 0.000
Sb 0.672 0.172 0.000
Sb 0.172 0.328 0.000

The following is a DFT calculation (PBE) of a geometry-optimized La6SmDy structure.

Results
Spin magnetization (μB/cell): 0.00
E_form (meV per atom): 7

Cell lengths 5.216, 5.216, 10.436 Å; angles 90.00, 90.00, 90.00 degrees
Fractional coordinates of all 8 atoms:
La 0.500 0.000 0.251
La 0.000 0.500 0.749
La 0.500 0.000 0.749
La 0.000 0.500 0.251
La 0.500 0.500 0.500
La 0.500 0.500 0.000
Sm 0.000 0.000 0.000
Dy 0.000 0.000 0.500

The following is a DFT calculation (PBE) of a geometry-optimized TaTiIrW structure.

Results
Spin magnetization (μB/cell): 0.00
E_form (meV per atom): -466

Cell lengths 4.492, 4.492, 4.492 Å; angles 60.00, 60.00, 60.00 degrees
Fractional coordinates of all 4 atoms:
Ta 0.750 0.750 0.750
W 0.000 0.000 0.000
Ti 0.250 0.250 0.250
Ir 0.500 0.500 0.500

The following is a DFT calculation (PBE) of a geometry-optimized KLiCr2 structure.

Results
ΔE to the lowest computed polymorph (meV/atom): 547
Spin magnetization (μB/cell): 9.56
E_form (meV per atom): 1163

Cell lengths 5.193, 4.496, 4.496 Å; angles 90.00, 90.00, 90.00 degrees
Site moments in Bohr magnetons follow the coordinates.
Fractional coordinates of all 4 atoms:
Cr 0.000 0.000 0.000  4.05
Cr 0.000 0.500 0.500  4.05
K 0.500 0.500 0.000  0.03
Li 0.500 0.000 0.500  -0.02